DFT (GGA-PBE) results for a relaxed structure of ZrC2.

Summary:
Total moment   0.0 μB/f.u.
E_form   4.09 eV/f.u.

Geometry as CIF:
```
data_ZrC2
_chemical_formula_sum 'Zr4 C8'
_cell_length_a 5.373
_cell_length_b 5.373
_cell_length_c 5.373
_cell_angle_alpha 90.00
_cell_angle_beta 90.00
_cell_angle_gamma 90.00
_space_group_name_H-M_alt 'F m -3 m'
_space_group_IT_number 225
_space_group_name_Hall '-F 4 2 3'
loop_
_atom_site_label
_atom_site_type_symbol
_atom_site_fract_x
_atom_site_fract_y
_atom_site_fract_z
Zr1 Zr 0.000 0.000 0.000
C1 C 0.250 0.250 0.250
```